# 1
Below is a relaxed structure of BeCo2As, with properties calculated at the PBE level.

Geometry as CIF:
```
data_BeCo2As
_chemical_formula_sum 'Be2 Co4 As2'
_space_group_name_H-M_alt 'C 1 2/m 1'
_space_group_IT_number 12
_space_group_name_Hall '-C 2y'
_cell_length_a 7.4463
_cell_length_b 2.7351
_cell_length_c 4.4206
_cell_angle_alpha 90.00
_cell_angle_beta 100.72
_cell_angle_gamma 90.00
loop_
_atom_site_label
_atom_site_type_symbol
_atom_site_fract_x
_atom_site_fract_y
_atom_site_fract_z
Be1 Be 0.0000 0.0000 0.0000
Co1 Co 0.2478 0.5000 0.2394
As1 As 0.0000 0.5000 0.5000
```

Values from the calculation:
Its density is 7576 kg/m3. The total energy is -5.669 eV per atom. The energy of formation is -0.022 eV per atom. The energy above the most stable polymorph in this dataset is 160 meV/atom.



# 2
Below is a relaxed structure of La2TlTc, with properties calculated at the PBE level.

Geometry as CIF:
```
data_La2TlTc
_chemical_formula_sum 'La8 Tl4 Tc4'
_space_group_name_H-M_alt 'I -4 2 d'
_space_group_IT_number 122
_space_group_name_Hall 'I -4 2bw'
_cell_length_a 8.4620
_cell_length_b 8.4620
_cell_length_c 6.2406
_cell_angle_alpha 90.00
_cell_angle_beta 90.00
_cell_angle_gamma 90.00
loop_
_atom_site_label
_atom_site_type_symbol
_atom_site_fract_x
_atom_site_fract_y
_atom_site_fract_z
La1 La 0.1804 0.2500 0.1250
Tl1 Tl 0.0000 0.0000 0.5000
Tc1 Tc 0.0000 0.0000 0.0000
```

Values from the calculation:
Its density is 8624 kg/m3. The total energy is -5.520 eV per atom. The energy of formation is 0.127 eV per atom.



# 3
Below is a relaxed structure of Li3NdAg2, with properties calculated at the PBE level.

Geometry as CIF:
```
data_Li3NdAg2
_chemical_formula_sum 'Li12 Nd4 Ag8'
_space_group_name_H-M_alt 'C 1 2/m 1'
_space_group_IT_number 12
_space_group_name_Hall '-C 2y'
_cell_length_a 14.1868
_cell_length_b 4.4440
_cell_length_c 8.9713
_cell_angle_alpha 90.00
_cell_angle_beta 119.98
_cell_angle_gamma 90.00
loop_
_atom_site_label
_atom_site_type_symbol
_atom_site_fract_x
_atom_site_fract_y
_atom_site_fract_z
Li1 Li 0.0574 0.0000 0.3949
Li2 Li 0.0787 0.5000 0.6857
Li3 Li 0.2194 0.5000 0.5479
Nd1 Nd 0.1345 0.0000 0.0156
Ag1 Ag 0.0677 0.5000 0.1995
Ag2 Ag 0.2038 0.0000 0.7286
```

Values from the calculation:
Its density is 5163 kg/m3. The total energy is -2.861 eV per atom. The energy of formation is -0.159 eV per atom.



# 4
Below is a relaxed structure of BaSr3Ir, with properties calculated at the PBE level.

Geometry as CIF:
```
data_BaSr3Ir
_chemical_formula_sum 'Ba8 Sr24 Ir8'
_space_group_name_H-M_alt 'C 1 2/c 1'
_space_group_IT_number 15
_space_group_name_Hall '-C 2yc'
_cell_length_a 14.3837
_cell_length_b 16.1389
_cell_length_c 7.6674
_cell_angle_alpha 90.00
_cell_angle_beta 97.41
_cell_angle_gamma 90.00
loop_
_atom_site_label
_atom_site_type_symbol
_atom_site_fract_x
_atom_site_fract_y
_atom_site_fract_z
Ba1 Ba 0.1175 0.2102 0.0996
Sr1 Sr 0.1150 0.4565 0.9786
Sr2 Sr 0.1189 0.3117 0.5640
Sr3 Sr 0.1241 0.0655 0.6370
Ir1 Ir 0.0000 0.1938 0.7500
Ir2 Ir 0.0000 0.3910 0.2500
```

Values from the calculation:
Its density is 4459 kg/m3. The total energy is -3.292 eV per atom. The energy of formation is -0.126 eV per atom. The energy above the most stable polymorph in this dataset is 38 meV/atom.



# 5
Below is a relaxed structure of Mg2Hg2IO6, with properties calculated at the PBE level.

Geometry as CIF:
```
data_Mg2Hg2IO6
_chemical_formula_sum 'Mg4 Hg4 I2 O12'
_space_group_name_H-M_alt 'C 1 2/m 1'
_space_group_IT_number 12
_space_group_name_Hall '-C 2y'
_cell_length_a 5.3867
_cell_length_b 9.2186
_cell_length_c 7.5480
_cell_angle_alpha 90.00
_cell_angle_beta 101.74
_cell_angle_gamma 90.00
loop_
_atom_site_label
_atom_site_type_symbol
_atom_site_fract_x
_atom_site_fract_y
_atom_site_fract_z
Mg1 Mg 0.0000 0.1652 0.0000
Hg1 Hg 0.0000 0.2717 0.5000
I1 I 0.0000 0.5000 0.0000
O1 O 0.1114 0.3476 0.8609
O2 O 0.1604 0.0000 0.8619
```

Values from the calculation:
Its density is 6088 kg/m3. The total energy is -4.336 eV per atom.



# 6
Below is a relaxed structure of KZnIn, with properties calculated at the PBE level.

Geometry as CIF:
```
data_KZnIn
_chemical_formula_sum 'K4 Zn4 In4'
_space_group_name_H-M_alt 'F -4 3 m'
_space_group_IT_number 216
_space_group_name_Hall 'F -4 2 3'
_cell_length_a 7.7713
_cell_length_b 7.7713
_cell_length_c 7.7713
_cell_angle_alpha 90.00
_cell_angle_beta 90.00
_cell_angle_gamma 90.00
loop_
_atom_site_label
_atom_site_type_symbol
_atom_site_fract_x
_atom_site_fract_y
_atom_site_fract_z
K1 K 0.0000 0.0000 0.0000
Zn1 Zn 0.2500 0.2500 0.2500
In1 In 0.2500 0.2500 0.7500
```

Values from the calculation:
Its density is 3104 kg/m3. The total energy is -1.203 eV per atom. The energy of formation is 0.500 eV per atom. The energy above the most stable polymorph in this dataset is 552 meV/atom.



# 7
Below is a relaxed structure of Cs2CuNiI6, with properties calculated at the PBE level.

Geometry as CIF:
```
data_Cs2CuNiI6
_chemical_formula_sum 'Cs12 Cu6 Ni6 I36'
_space_group_name_H-M_alt 'R -3 m'
_space_group_IT_number 166
_space_group_name_Hall '-R 3 2"'
_cell_length_a 8.0600
_cell_length_b 8.0600
_cell_length_c 39.7820
_cell_angle_alpha 90.00
_cell_angle_beta 90.00
_cell_angle_gamma 120.00
loop_
_atom_site_label
_atom_site_type_symbol
_atom_site_fract_x
_atom_site_fract_y
_atom_site_fract_z
Cs1 Cs 0.0000 0.0000 0.1225
Cs2 Cs 0.0000 0.0000 0.2939
Cu1 Cu 0.0000 0.0000 0.4164
Ni1 Ni 0.0000 0.0000 0.0000
Ni2 Ni 0.0000 0.0000 0.5000
I1 I 0.0122 0.5061 0.7064
I2 I 0.0190 0.5095 0.1248
```

Values from the calculation:
Its density is 5117 kg/m3. The total energy is -2.728 eV per atom.



# 8
Below is a relaxed structure of RuPbCl4, with properties calculated at the PBE level.

Geometry as CIF:
```
data_RuPbCl4
_chemical_formula_sum 'Ru4 Pb4 Cl16'
_space_group_name_H-M_alt 'F -4 3 m'
_space_group_IT_number 216
_space_group_name_Hall 'F -4 2 3'
_cell_length_a 8.3209
_cell_length_b 8.3209
_cell_length_c 8.3209
_cell_angle_alpha 90.00
_cell_angle_beta 90.00
_cell_angle_gamma 90.00
loop_
_atom_site_label
_atom_site_type_symbol
_atom_site_fract_x
_atom_site_fract_y
_atom_site_fract_z
Ru1 Ru 0.0000 0.0000 0.0000
Pb1 Pb 0.2500 0.2500 0.2500
Cl1 Cl 0.1259 0.1259 0.6259
```

Values from the calculation:
Its density is 5189 kg/m3. The total energy is -2.638 eV per atom.